1.
NbHgRh: relaxed, PBE.

Properties
Energy relative to the elements in eV per atom: -0.070
Space-group type: No. 44
Raw total energy in eV per atom: -5.977

a = 2.9719 Å, b = 3.9934 Å, c = 8.7658 Å
α = 90.00°, β = 90.00°, γ = 90.00°
Fractional coordinates of all 6 atoms:
Nb (0.0000, 0.0000, 0.4906)
Nb (0.5000, 0.5000, 0.9906)
Hg (0.0000, 0.0000, 0.1660)
Hg (0.5000, 0.5000, 0.6660)
Rh (0.0000, 0.0000, 0.8380)
Rh (0.5000, 0.5000, 0.3380)


2.
CaCeSmTm: relaxed, PBE.

Properties
Energy relative to the elements in eV per atom: 0.243
Space-group type: No. 216
Raw total energy in eV per atom: -4.038

a = 5.7664 Å, b = 5.7664 Å, c = 5.7664 Å
α = 60.00°, β = 60.00°, γ = 60.00°
Fractional coordinates of all 4 atoms:
Ca (0.5000, 0.5000, 0.5000)
Tm (0.7500, 0.7500, 0.7500)
Ce (0.0000, 0.0000, 0.0000)
Sm (0.2500, 0.2500, 0.2500)


3.
Pm2NdAl2: relaxed, PBE.

Properties
Energy relative to the elements in eV per atom: -0.111
Space-group type: No. 11
Raw total energy in eV per atom: -4.462

a = 3.7500 Å, b = 5.7713 Å, c = 13.5552 Å
α = 95.89°, β = 90.00°, γ = 90.00°
Fractional coordinates of all 10 atoms:
Pm (0.2500, 0.8543, 0.8889)
Pm (0.7500, 0.1457, 0.1111)
Pm (0.2500, 0.2592, 0.5396)
Pm (0.7500, 0.7408, 0.4604)
Nd (0.2500, 0.6765, 0.2324)
Nd (0.7500, 0.3235, 0.7676)
Al (0.2500, 0.7883, 0.6581)
Al (0.7500, 0.2117, 0.3419)
Al (0.2500, 0.3595, 0.9608)
Al (0.7500, 0.6405, 0.0392)


4.
HfTlPd3: relaxed, PBE.

Properties
Energy relative to the elements in eV per atom: 0.402
Space-group type: No. 221
Raw total energy in eV per atom: -5.177

a = 4.9677 Å, b = 4.9677 Å, c = 4.9677 Å
α = 90.00°, β = 90.00°, γ = 90.00°
Fractional coordinates of all 5 atoms:
Tl (0.5000, 0.5000, 0.5000)
Hf (0.0000, 0.0000, 0.0000)
Pd (0.0000, 0.5000, 0.0000)
Pd (0.0000, 0.0000, 0.5000)
Pd (0.5000, 0.0000, 0.0000)


5.
BaTl2Hg9: relaxed, PBE.

Properties
Energy relative to the elements in eV per atom: -0.117
Space-group type: No. 191
Raw total energy in eV per atom: -0.898

a = 3.6098 Å, b = 10.6484 Å, c = 10.6484 Å
α = 120.00°, β = 90.00°, γ = 90.00°
Fractional coordinates of all 12 atoms:
Ba (0.0000, 0.0000, 0.0000)
Tl (0.0000, 0.6667, 0.3333)
Tl (0.0000, 0.3333, 0.6667)
Hg (0.5000, 0.8266, 0.1734)
Hg (0.0000, 0.0000, 0.5000)
Hg (0.0000, 0.5000, 0.5000)
Hg (0.5000, 0.8266, 0.6533)
Hg (0.5000, 0.1734, 0.8266)
Hg (0.5000, 0.6533, 0.8266)
Hg (0.5000, 0.1734, 0.3467)
Hg (0.0000, 0.5000, 0.0000)
Hg (0.5000, 0.3467, 0.1734)


6.
Ho2CdHgAu4: relaxed, PBE.

Properties
Energy relative to the elements in eV per atom: -0.638
Space-group type: No. 166
Raw total energy in eV per atom: -3.573

a = 4.9347 Å, b = 4.9347 Å, c = 8.5057 Å
α = 73.14°, β = 73.14°, γ = 60.00°
Fractional coordinates of all 8 atoms:
Ho (0.7519, 0.7519, 0.7444)
Ho (0.2481, 0.2481, 0.2556)
Cd (0.0000, 0.0000, 0.0000)
Hg (0.5000, 0.5000, 0.5000)
Au (0.3729, 0.3729, 0.8812)
Au (0.8779, 0.8779, 0.3662)
Au (0.1221, 0.1221, 0.6338)
Au (0.6271, 0.6271, 0.1188)


7.
K2CaMn: relaxed, PBE.

Properties
Energy relative to the elements in eV per atom: 0.476
Space-group type: No. 6
Raw total energy in eV per atom: -2.866

a = 4.0034 Å, b = 4.0087 Å, c = 11.7849 Å
α = 69.88°, β = 90.00°, γ = 90.00°
Fractional coordinates of all 4 atoms:
Ca (0.5000, 0.8252, 0.6742)
K (0.0000, 0.0298, 0.9675)
K (0.5000, 0.1849, 0.3171)
Mn (0.0000, 0.4600, 0.5412)


8.
BaIrCl2: relaxed, PBE.

Properties
Space-group type: No. 65
Raw formation energy in eV per atom: -0.15
Raw total energy in eV per atom: -3.766

a = 4.0380 Å, b = 4.0380 Å, c = 6.8916 Å
α = 90.00°, β = 90.00°, γ = 96.30°
Fractional coordinates of all 4 atoms:
Ir (0.5000, 0.5000, 0.2500)
Ba (0.5000, 0.5000, 0.7500)
Cl (0.0000, 0.0000, 0.9881)
Cl (0.0000, 0.0000, 0.5119)